First-principles (PBE) data for crystalline Li3Mg4Sn4 at its relaxed geometry, as listed in the Alexandria database. Values from VASP.

```
&SYSTEM
  ibrav = 0, nat = 11, ntyp = 3
/
ATOMIC_SPECIES
Li 6.94 Li.upf
Mg 24.30 Mg.upf
Sn 118.71 Sn.upf
CELL_PARAMETERS angstrom
-2.211 4.150 7.568
2.211 -4.150 7.568
2.211 4.150 -7.568
ATOMIC_POSITIONS angstrom
Li 0.000 0.000 0.000
Li 2.211 0.000 5.870
Li 0.000 4.150 1.698
Mg 2.211 1.639 -2.633
Mg 2.211 1.639 2.633
Mg 0.000 2.511 4.935
Mg 0.000 2.511 10.202
Sn 0.000 0.000 3.480
Sn 2.211 2.697 0.000
Sn 0.000 1.453 7.568
Sn 0.000 0.000 11.656
```

Properties
energy of formation from the pure elements: -0.16 eV/atom
total magnetic moment: 0.00 μB per formula unit

First-principles (PBE) data for crystalline TaAlCo at its relaxed geometry, as listed in the Alexandria database. Values from VASP.

```
&SYSTEM
  ibrav = 0, nat = 3, ntyp = 3
/
ATOMIC_SPECIES
Ta 180.95 Ta.upf
Al 26.98 Al.upf
Co 58.93 Co.upf
CELL_PARAMETERS angstrom
0.000 2.880 2.880
2.880 0.000 2.880
2.880 2.880 0.000
ATOMIC_POSITIONS angstrom
Ta 0.000 0.000 0.000
Al 2.880 2.880 2.880
Co 1.440 1.440 1.440
```

Properties
energy of formation from the pure elements: -0.22 eV/atom
total magnetic moment: 0.00 μB per formula unit

First-principles (PBE) data for crystalline BaSrSe4 at its relaxed geometry, as listed in the Alexandria database. Values from VASP.

```
&SYSTEM
  ibrav = 0, nat = 6, ntyp = 3
/
ATOMIC_SPECIES
Ba 137.33 Ba.upf
Sr 87.62 Sr.upf
Se 78.96 Se.upf
CELL_PARAMETERS angstrom
0.000 4.363 4.363
4.363 0.000 4.363
4.363 4.363 0.000
ATOMIC_POSITIONS angstrom
Ba 0.000 0.000 0.000
Sr 2.182 2.182 2.182
Se 5.450 3.276 3.276
Se 3.276 5.450 3.276
Se 3.276 3.276 5.450
Se 5.450 5.450 5.450
```

Properties
energy relative to the elements, uncorrected: -0.667 eV/atom
total magnetic moment: 0.00 μB per formula unit

First-principles (PBE) data for crystalline GaGePt6 at its relaxed geometry, as listed in the Alexandria database. Values from VASP.

```
&SYSTEM
  ibrav = 0, nat = 8, ntyp = 3
/
ATOMIC_SPECIES
Ga 69.72 Ga.upf
Ge 72.64 Ge.upf
Pt 195.08 Pt.upf
CELL_PARAMETERS angstrom
-2.779 2.779 4.018
2.779 -2.779 4.018
2.779 2.779 -4.018
ATOMIC_POSITIONS angstrom
Ga 0.000 0.000 0.000
Ge 0.000 0.000 4.018
Pt 2.779 0.000 0.000
Pt 1.117 -1.117 2.042
Pt -1.117 1.117 2.042
Pt 0.000 2.779 0.000
Pt 1.662 1.662 1.976
Pt 1.117 1.117 5.994
```

Properties
energy of formation from the pure elements: -0.41 eV/atom
total magnetic moment: 0.00 μB per formula unit

First-principles (PBE) data for crystalline TaAg2Sb at its relaxed geometry, as listed in the Alexandria database. Values from VASP.

```
&SYSTEM
  ibrav = 0, nat = 4, ntyp = 3
/
ATOMIC_SPECIES
Ta 180.95 Ta.upf
Ag 107.87 Ag.upf
Sb 121.76 Sb.upf
CELL_PARAMETERS angstrom
-1.997 1.997 4.909
1.997 -1.997 4.909
1.997 1.997 -4.909
ATOMIC_POSITIONS angstrom
Ta 0.000 0.000 0.000
Ag 1.997 0.000 2.455
Ag 0.000 1.997 2.455
Sb 0.000 0.000 4.909
```

Properties
energy relative to the elements, uncorrected: 0.401 eV/atom
total magnetic moment: 0.00 μB per formula unit

First-principles (PBE) data for crystalline ScAl2Ru2 at its relaxed geometry, as listed in the Alexandria database. Values from VASP.

```
&SYSTEM
  ibrav = 0, nat = 10, ntyp = 3
/
ATOMIC_SPECIES
Sc 44.96 Sc.upf
Al 26.98 Al.upf
Ru 101.07 Ru.upf
CELL_PARAMETERS angstrom
7.150 0.000 0.000
0.000 7.150 0.000
0.000 0.000 3.012
ATOMIC_POSITIONS angstrom
Sc 0.000 0.000 0.000
Sc 3.575 3.575 0.000
Al 0.916 2.659 0.000
Al 2.659 6.234 0.000
Al 4.491 0.916 0.000
Al 6.234 4.491 0.000
Ru 1.201 4.776 1.506
Ru 2.375 1.201 1.506
Ru 4.776 5.950 1.506
Ru 5.950 2.375 1.506
```

Properties
energy of formation from the pure elements: -0.62 eV/atom
total magnetic moment: 0.00 μB per formula unit

First-principles (PBE) data for crystalline Ce2Sm3UAs6 at its relaxed geometry, as listed in the Alexandria database. Values from VASP.

```
&SYSTEM
  ibrav = 0, nat = 12, ntyp = 4
/
ATOMIC_SPECIES
Ce 140.12 Ce.upf
Sm 150.36 Sm.upf
U 238.03 U.upf
As 74.92 As.upf
CELL_PARAMETERS angstrom
9.149 -2.090 0.000
9.149 2.090 0.000
-1.973 0.000 8.176
ATOMIC_POSITIONS angstrom
Ce 2.377 0.000 2.716
Ce 13.947 0.000 5.459
Sm 1.431 0.000 6.807
Sm 8.162 0.000 4.088
Sm 14.893 0.000 1.369
U 9.149 0.000 0.000
As -1.483 0.000 6.195
As 5.260 0.000 3.419
As 4.345 0.000 7.507
As 11.979 0.000 0.669
As 11.064 0.000 4.757
As 17.807 0.000 1.981
```

Properties
energy of formation from the pure elements: -1.36 eV/atom
total magnetic moment: 3.80 μB per formula unit

First-principles (PBE) data for crystalline Co2Ni15Pt2 at its relaxed geometry, as listed in the Alexandria database. Values from VASP.

```
&SYSTEM
  ibrav = 0, nat = 19, ntyp = 3
/
ATOMIC_SPECIES
Co 58.93 Co.upf
Ni 58.69 Ni.upf
Pt 195.08 Pt.upf
CELL_PARAMETERS angstrom
4.010 2.315 4.055
-4.010 2.315 4.055
0.000 -4.630 4.055
ATOMIC_POSITIONS angstrom
Co 0.000 0.000 1.149
Co 0.000 0.000 11.017
Ni -4.010 0.000 6.083
Ni -1.233 -2.495 4.055
Ni -2.005 1.158 2.028
Ni -2.777 0.180 4.055
Ni -1.982 -1.144 5.917
Ni 1.233 -2.495 4.055
Ni -1.545 2.315 4.055
Ni 0.000 -2.288 6.250
Ni -1.982 1.144 6.250
Ni 2.005 1.158 2.028
Ni 1.982 -1.144 5.917
Ni 0.000 2.288 5.917
Ni 2.777 0.180 4.055
Ni 1.545 2.315 4.055
Ni 1.982 1.144 6.250
Pt 0.000 0.000 3.920
Pt 0.000 0.000 8.246
```

Properties
energy of formation from the pure elements: 0.16 eV/atom
total magnetic moment: 13.84 μB per formula unit